Here is crystalline ZnPbSeN2 at its relaxed geometry from Alexandria. Energies are from GGA-PBE.

abc: 4.123 4.123 5.147
angles: 90.00 90.00 90.00
Positions (direct):
N (0.000, 0.500, 0.000)
N (0.500, 0.000, 0.000)
Se (0.000, 0.000, 0.500)
Pb (0.500, 0.500, 0.500)
Zn (0.000, 0.000, 0.000)

## Properties
E_form (uncorrected) = 1.20 eV per atom
Relative energy among the computed polymorphs = 0.0 meV per atom

=====

Here is crystalline ZnPbSeN2 at its relaxed geometry from Alexandria. Energies are from GGA-PBE.

abc: 4.383 4.383 6.099
angles: 90.00 90.00 90.00
Positions (direct):
Pb (0.000, 0.000, 0.000)
Se (0.000, 0.000, 0.500)
N (0.500, 0.000, 0.000)
N (0.000, 0.500, 0.000)
Zn (0.500, 0.500, 0.500)

## Properties
E_form (uncorrected) = 1.58 eV per atom
Relative energy among the computed polymorphs = 382.8 meV per atom

=====

Here is crystalline ZnPbSe2N at its relaxed geometry from Alexandria. Energies are from GGA-PBE.

abc: 5.520 5.520 4.411
angles: 90.00 90.00 90.00
Positions (direct):
N (0.000, 0.000, 0.500)
Se (0.500, 0.000, 0.000)
Pb (0.000, 0.000, 0.000)
Se (0.000, 0.500, 0.000)
Zn (0.500, 0.500, 0.500)

## Properties
E_form (uncorrected) = 1.08 eV per atom
Relative energy among the computed polymorphs = 573.3 meV per atom

=====

Here is crystalline ZrPbSeN2 at its relaxed geometry from Alexandria. Energies are from GGA-PBE.

abc: 4.302 4.302 5.313
angles: 90.00 90.00 90.00
Positions (direct):
Zr (0.500, 0.500, 0.500)
N (0.000, 0.500, 0.000)
N (0.500, 0.000, 0.000)
Se (0.000, 0.000, 0.500)
Pb (0.000, 0.000, 0.000)

## Properties
E_form (uncorrected) = 1.28 eV per atom
Relative energy among the computed polymorphs = 1196.1 meV per atom

=====

Here is crystalline ZrPbSeN2 at its relaxed geometry from Alexandria. Energies are from GGA-PBE.

abc: 4.384 4.384 5.464
angles: 90.00 90.00 90.00
Positions (direct):
N (0.500, 0.000, 0.000)
Zr (0.000, 0.000, 0.000)
N (0.000, 0.500, 0.000)
Pb (0.500, 0.500, 0.500)
Se (0.000, 0.000, 0.500)

## Properties
E_form (uncorrected) = 0.08 eV per atom
Relative energy among the computed polymorphs = 0.0 meV per atom

=====

Here is crystalline ZrPbSe2N at its relaxed geometry from Alexandria. Energies are from GGA-PBE.

abc: 5.402 5.402 4.277
angles: 90.00 90.00 90.00
Positions (direct):
Pb (0.000, 0.000, 0.000)
Zr (0.500, 0.500, 0.500)
Se (0.500, 0.000, 0.000)
Se (0.000, 0.500, 0.000)
N (0.000, 0.000, 0.500)

## Properties
E_form (uncorrected) = 0.89 eV per atom

=====

Here is crystalline SiPb2N at its relaxed geometry from Alexandria. Energies are from GGA-PBE.

abc: 5.875 5.875 7.196
angles: 65.91 65.91 90.00
Positions (direct):
Pb (0.573, 0.125, 0.250)
Si (0.000, 0.000, 0.000)
Pb (0.177, 0.625, 0.250)
Pb (0.875, 0.823, 0.750)
N (0.250, 0.750, 0.500)
Pb (0.375, 0.427, 0.750)
N (0.500, 0.500, 0.000)
Si (0.750, 0.250, 0.500)

## Properties
E_form (uncorrected) = 0.74 eV per atom
Relative energy among the computed polymorphs = 0.0 meV per atom

=====

Here is crystalline SiPbN2 at its relaxed geometry from Alexandria. Energies are from GGA-PBE.

abc: 6.354 6.354 6.354
angles: 36.14 36.14 36.14
Positions (direct):
N (0.909, 0.909, 0.909)
Si (0.000, 0.000, 0.000)
Pb (0.500, 0.500, 0.500)
N (0.091, 0.091, 0.091)

## Properties
E_form (uncorrected) = 0.48 eV per atom
Relative energy among the computed polymorphs = 879.3 meV per atom

=====

Fermi-level density of states? In order: 0.4669; 0.4828; 0.6071; 0.5500; 0.7244; 0.6665; 0.4905; 0.0000 states/eV per atom.